No. 1
First-principles (GGA-PBE) data for a geometry-optimized Pm2AgTe structure, as listed in Alexandria via LeMat-Bulk.

Cell and atoms, written as POSCAR:
```
Pm2AgTe
1.0
2.158 1.246 7.545
-2.158 1.246 7.545
0.000 -2.492 7.545
Pm Ag Te
2 1 1
direct
0.248 0.248 0.248
0.752 0.752 0.752
0.500 0.500 0.500
0.000 0.000 0.000
```

* formation energy (no corrections): -3.01 eV/f.u.
* N(E_F): 4.38 states/eV/cell
* M_tot: 0.00 μB per formula unit
* raw total energy: -4.625 eV/atom

No. 2
First-principles (GGA-PBE) data for a geometry-optimized Pm5AgTe8 structure, as listed in Alexandria via LeMat-Bulk.

Cell and atoms, written as POSCAR:
```
Pm5AgTe8
1.0
-4.705 4.705 4.821
4.705 -4.705 4.821
4.705 4.705 -4.821
Pm Ag Te
5 1 8
direct
0.000 0.000 0.000
0.136 0.509 0.880
0.491 0.371 0.627
0.629 0.256 0.120
0.744 0.864 0.373
0.250 0.750 0.500
0.012 0.255 0.397
0.224 0.109 0.745
0.364 0.479 0.255
0.385 0.988 0.243
0.521 0.776 0.885
0.745 0.142 0.757
0.858 0.615 0.603
0.891 0.636 0.115
```

* formation energy (no corrections): -17.70 eV/f.u.
* M_tot: 0.00 μB per formula unit
* raw total energy: -4.960 eV/atom

No. 3
First-principles (GGA-PBE) data for a geometry-optimized Pm4AgTe5 structure, as listed in Alexandria via LeMat-Bulk.

Cell and atoms, written as POSCAR:
```
Pm4AgTe5
1.0
2.225 1.284 18.153
-2.225 1.284 18.153
0.000 -2.569 18.153
Pm Ag Te
4 1 5
direct
0.101 0.101 0.101
0.299 0.299 0.299
0.701 0.701 0.701
0.899 0.899 0.899
0.500 0.500 0.500
0.000 0.000 0.000
0.198 0.198 0.198
0.401 0.401 0.401
0.599 0.599 0.599
0.802 0.802 0.802
```

* formation energy (no corrections): -11.88 eV/f.u.
* N(E_F): 5.19 states/eV/cell
* M_tot: 0.00 μB per formula unit
* raw total energy: -4.944 eV/atom

No. 4
First-principles (GGA-PBE) data for a geometry-optimized PmAgTe2 structure, as listed in Alexandria via LeMat-Bulk.

Cell and atoms, written as POSCAR:
```
PmAgTe2
1.0
5.143 0.000 0.000
0.000 5.143 0.000
0.000 0.000 4.004
Pm Ag Te
1 1 2
direct
0.000 0.000 0.000
0.500 0.500 0.000
0.000 0.500 0.500
0.500 0.000 0.500
```

* formation energy (no corrections): -2.88 eV/f.u.
* N(E_F): 1.64 states/eV/cell
* M_tot: 0.00 μB per formula unit
* raw total energy: -4.191 eV/atom

Repeat the second record exactly.
First-principles (GGA-PBE) data for a geometry-optimized Pm5AgTe8 structure, as listed in Alexandria via LeMat-Bulk.

Cell and atoms, written as POSCAR:
```
Pm5AgTe8
1.0
-4.705 4.705 4.821
4.705 -4.705 4.821
4.705 4.705 -4.821
Pm Ag Te
5 1 8
direct
0.000 0.000 0.000
0.136 0.509 0.880
0.491 0.371 0.627
0.629 0.256 0.120
0.744 0.864 0.373
0.250 0.750 0.500
0.012 0.255 0.397
0.224 0.109 0.745
0.364 0.479 0.255
0.385 0.988 0.243
0.521 0.776 0.885
0.745 0.142 0.757
0.858 0.615 0.603
0.891 0.636 0.115
```

* formation energy (no corrections): -17.70 eV/f.u.
* M_tot: 0.00 μB per formula unit
* raw total energy: -4.960 eV/atom

Number 4 is which compound?
PmAgTe2

Which value of M_tot does entry 4 give?
0.00 μB per formula unit

Number 2 is which compound?
Pm5AgTe8